First-principles (PBE) data for crystalline Al2ReW at its relaxed geometry, as listed in Alexandria.

Unit cell a=4.378 b=4.378 c=4.378 alpha=60.00 beta=60.00 gamma=60.00
Sites, in units of the cell vectors:
Al: 0.250 0.250 0.250
Al: 0.750 0.750 0.750
Re: 0.000 0.000 0.000
W: 0.500 0.500 0.500

Values from the calculation:
DOS at the Fermi energy	4.6	states/eV per cell
density	11.86	Mg/m³
formation energy	0.16	eV/atom
total DFT energy (no corrections)	-8.06	eV per atom
SG	Fm-3m (225)